The following is a DFT calculation (SCAN) of a PBEsol-optimized structure of LaIF2.

Geometry as extended XYZ:
```
4
Lattice="-2.206 1.409 3.189 -2.703 -2.476 1.894 2.348 -2.031 5.190" Properties=species:S:1:pos:R:3 pbc="T T T"
F 0.017 -1.051 3.145
F -2.578 -2.047 7.128
I 0.000 0.000 0.000
La -1.281 -1.549 5.136
```

Values from the calculation:
- Spin magnetization: 0.00 μB/f.u.
- SG: R-3m (166)
- E_form (uncorrected): -3487 meV/atom

The following is a DFT calculation (SCAN) of a PBEsol-optimized structure of LaI2F.

Geometry as extended XYZ:
```
4
Lattice="-2.857 -4.465 -0.276 -0.314 -3.214 4.213 -4.556 -0.406 2.694" Properties=species:S:1:pos:R:3 pbc="T T T"
F 0.000 0.000 0.000
La -3.864 -4.043 3.316
I -1.932 -2.022 1.658
I -5.796 -6.065 4.974
```

Values from the calculation:
- Spin magnetization: 0.00 μB/f.u.
- SG: Fm-3m (225)
- E_form (uncorrected): -1911 meV/atom

The following is a DFT calculation (SCAN) of a PBEsol-optimized structure of LaTe2IF.

Geometry as extended XYZ:
```
5
Lattice="6.099 0.000 0.000 0.000 6.185 0.000 0.000 0.000 6.185" Properties=species:S:1:pos:R:3 pbc="T T T"
I 3.050 0.000 0.000
Te 0.000 3.093 0.000
Te 0.000 0.000 3.093
La 0.000 0.000 0.000
F 3.050 3.093 3.093
```

Values from the calculation:
- Spin magnetization: 3.00 μB/f.u.
- SG: P4/mmm (123)
- E_form (uncorrected): -482 meV/atom

The following is a DFT calculation (SCAN) of a PBEsol-optimized structure of LiI2OF.

Geometry as extended XYZ:
```
5
Lattice="3.344 0.000 0.000 0.000 5.304 0.000 0.000 0.000 5.304" Properties=species:S:1:pos:R:3 pbc="T T T"
I 0.000 2.652 0.000
I 0.000 0.000 2.652
Li 0.000 0.000 0.000
O 1.672 0.000 0.000
F 1.672 2.652 2.652
```

Values from the calculation:
- Spin magnetization: 3.04 μB/f.u.
- SG: P4/mmm (123)
- E_form (uncorrected): -131 meV/atom

Which value of E_form (uncorrected) does entry 4 give? -131 meV/atom